# 1
# La4In2Ru

A geometry-optimized La4In2Ru structure (PBE-GGA, Alexandria via LeMat-Bulk).

Calculated values
theoretical density: 6.19 g cm⁻³
energy above the lowest structure with this stoichiometry: 0.0843 eV/atom
size of the total moment: 0.00 μB/f.u.

a b c (Å): 5.385 5.385 9.041
angles (deg): 72.67 72.67 90.00
Positions (direct):
Ru  0.000  0.000  0.000
In  0.370  0.370  0.260
In  0.630  0.630  0.740
La  0.177  0.177  0.647
La  0.823  0.823  0.353
La  0.000  0.500  0.000
La  0.500  0.000  0.000

=====

# 2
# Y3CuTe

A geometry-optimized Y3CuTe structure (PBE-GGA, Alexandria via LeMat-Bulk).

Calculated values
ΔE_f (raw): -1.3 eV/f.u.
theoretical density: 5.06 g cm⁻³
energy above the lowest structure with this stoichiometry: 0.3261 eV/atom
size of the total moment: 0.00 μB/f.u.

a b c (Å): 5.316 5.316 5.316
angles (deg): 90.00 90.00 90.00
Positions (direct):
Y  0.000  0.500  0.000
Y  0.000  0.000  0.500
Y  0.500  0.000  0.000
Te  0.500  0.500  0.500
Cu  0.000  0.000  0.000